The following is a DFT calculation (GGA-PBE) of crystalline CaPt2 at its relaxed geometry.

Lattice parameters (Å, degrees): 5.944 7.251 5.944 90.00 120.00 90.00
Element x y z (fractional)
Ca (0.004, 0.983, 0.996)
Ca (0.833, 0.387, 0.167)
Ca (0.004, 0.983, 0.508)
Ca (0.492, 0.983, 0.996)
Pt (0.654, 0.681, 0.346)
Pt (0.500, 0.017, 0.500)
Pt (0.335, 0.323, 0.665)
Pt (0.167, 0.636, 0.833)
Pt (0.830, 0.323, 0.665)
Pt (0.654, 0.681, 0.809)
Pt (0.335, 0.323, 0.170)
Pt (0.191, 0.681, 0.346)

Summary:
Space-group type = P3m1
Density of states at the Fermi level = 8.66 states/eV per cell
M_tot = 0.00 μB/cell
Total DFT energy (no corrections) = -5.075 eV/atom
DFT formation energy = -0.38 eV/atom